Record 1
{"formula": "AlZn2O", "functional": "PBE-GGA", "state": "optimized geometry", "lattice_angstrom": [[0.000, 3.094, 3.094], [3.094, 0.000, 3.094], [3.094, 3.094, 0.000]], "species": ["Al", "O", "Zn", "Zn"], "fractional_positions": [[0.500, 0.500, 0.500], [0.000, 0.000, 0.000], [0.750, 0.750, 0.750], [0.250, 0.250, 0.250]], "magnetic_moment_mub_per_cell": 0.00}



Record 2
{"formula": "AlZn3O", "functional": "PBE-GGA", "state": "optimized geometry", "lattice_angstrom": [[-2.573, -0.306, -4.030], [-0.085, -4.772, 0.416], [-4.041, 0.295, 2.557]], "species": ["Zn", "Zn", "Al", "Zn", "O"], "fractional_positions": [[0.000, 0.500, 0.000], [0.000, 0.000, 0.500], [0.000, 0.000, 0.000], [0.500, 0.000, 0.000], [0.500, 0.500, 0.500]], "magnetic_moment_mub_per_cell": 0.00}



Record 3
{"formula": "AlZnO2", "functional": "PBE-GGA", "state": "optimized geometry", "lattice_angstrom": [[1.644, 0.000, 6.035], [-0.822, 1.424, 6.035], [-0.822, -1.424, 6.035]], "species": ["O", "O", "Zn", "Al"], "fractional_positions": [[0.113, 0.113, 0.113], [0.887, 0.887, 0.887], [0.000, 0.000, 0.000], [0.500, 0.500, 0.500]], "magnetic_moment_mub_per_cell": 0.00}



Record 4
{"formula": "Al2Zn2O5", "functional": "PBE-GGA", "state": "optimized geometry", "lattice_angstrom": [[2.846, -0.144, -1.231], [-0.322, 5.055, -1.332], [-1.057, -0.478, 9.303]], "species": ["O", "O", "O", "Al", "Zn", "O", "Al", "O", "Zn"], "fractional_positions": [[0.540, 0.030, 0.360], [0.108, 0.589, 0.739], [0.000, 0.000, 0.000], [0.687, 0.784, 0.791], [0.953, 0.202, 0.635], [0.460, 0.970, 0.640], [0.313, 0.216, 0.209], [0.892, 0.411, 0.261], [0.047, 0.798, 0.365]], "magnetic_moment_mub_per_cell": 0.00}



Across the entries above, uncorrected formation energy takes the values 0.268; 0.739; -2.011; -2.228 eV per atom, respectively.
Across the entries above, density of states at the Fermi level takes the values 1.19; 1.98; 0.43; 0.00 states/eV per atom, respectively.